TbYPt | PBE | relaxed

a = 4.878 Å, b = 4.878 Å, c = 8.458 Å
α = 73.24°, β = 73.24°, γ = 60.00°
Fractional coordinates of all 6 atoms:
Tb1 0.125 0.125 0.625
Tb2 0.875 0.875 0.375
Y1 0.625 0.625 0.125
Y2 0.375 0.375 0.875
Pt1 0.750 0.750 0.749
Pt2 0.250 0.250 0.251

Its crystal system is trigonal. Its formation energy from the elements is -0.8491 eV/atom.

=====

NdDyGe2Rh5 | PBE | relaxed

a = 4.214 Å, b = 4.214 Å, c = 9.004 Å
α = 90.00°, β = 90.00°, γ = 90.00°
Fractional coordinates of all 9 atoms:
Nd1 0.000 0.000 0.500
Dy1 0.000 0.000 0.000
Ge1 0.500 0.500 0.140
Ge2 0.500 0.500 0.860
Rh1 0.000 0.500 0.267
Rh2 0.500 0.000 0.267
Rh3 0.000 0.500 0.733
Rh4 0.500 0.000 0.733
Rh5 0.500 0.500 0.500

Its crystal system is tetragonal. Its formation energy from the elements is -0.6872 eV/atom.

=====

Ac3La4 | PBE | relaxed

a = 3.862 Å, b = 3.862 Å, c = 19.119 Å
α = 95.80°, β = 95.80°, γ = 90.00°
Fractional coordinates of all 7 atoms:
Ac1 0.000 0.000 0.000
Ac2 0.711 0.711 0.422
Ac3 0.289 0.289 0.578
La1 0.861 0.861 0.722
La2 0.427 0.427 0.855
La3 0.573 0.573 0.145
La4 0.139 0.139 0.278

Its crystal system is tetragonal. Its formation energy from the elements is 0.0225 eV/atom.

=====

CaSi2I | PBE | relaxed

a = 8.514 Å, b = 8.514 Å, c = 6.684 Å
α = 50.44°, β = 50.44°, γ = 90.00°
Fractional coordinates of all 8 atoms:
I1 0.000 0.000 0.000
I2 0.750 0.250 0.500
Ca1 0.500 0.500 0.000
Ca2 0.250 0.750 0.500
Si1 0.630 0.125 0.250
Si2 0.120 0.625 0.250
Si3 0.375 0.370 0.750
Si4 0.875 0.880 0.750

Its crystal system is tetragonal.

=====

GaAg3As | PBE | relaxed

a = 4.855 Å, b = 4.855 Å, c = 4.855 Å
α = 90.00°, β = 90.00°, γ = 90.00°
Fractional coordinates of all 5 atoms:
As1 0.500 0.500 0.500
Ga1 0.000 0.000 0.000
Ag1 0.000 0.500 0.000
Ag2 0.000 0.000 0.500
Ag3 0.500 0.000 0.000

Its crystal system is cubic. Its formation energy from the elements is 0.6362 eV/atom.

=====

Sn5Sb | PBE | relaxed

a = 5.627 Å, b = 6.126 Å, c = 5.676 Å
α = 90.00°, β = 119.72°, γ = 90.00°
Fractional coordinates of all 6 atoms:
Sn1 0.389 0.000 0.778
Sn2 0.722 0.000 0.444
Sn3 0.388 0.500 0.777
Sn4 0.723 0.500 0.445
Sn5 0.056 0.500 0.111
Sb1 0.056 0.000 0.111

Its crystal system is orthorhombic.

=====

Calculated volume values (in Å³/atom) by entry order: 27.4; 17.8; 40.3; 26.3; 22.9; 28.3.
N(E_F) values (in states/eV/cell) by entry order: 4.73; 6.18; 14.59; 5.78; 3.77; 2.72.
Raw total energy values (in eV per atom) by entry order: -6.561; -6.838; -4.554; -3.197; -2.610; -3.984.